# 1
Compound: TlSe3
Source: Alexandria via LeMat-Bulk
Functional: PBE-GGA
Structure: relaxed

```
4
Lattice="-3.2650 2.4610 -0.5958 -2.5102 -3.2617 0.2828 -0.4323 0.8382 5.8314" Properties=species:S:1:pos:R:3 pbc="T T T"
Tl -2.0914 -2.7176 0.2356
Se -2.4689 0.1436 -0.2037
Se -2.6855 0.5622 2.7121
Se -2.3085 -2.2997 3.1514
```

Summary:
DOS(E_F)   2.9 states/eV per cell
Size of the total moment   0.00 μB per atom
Energy relative to the elements, uncorrected   0.002 eV/atom



# 2
Compound: Tl5Se
Source: Alexandria via LeMat-Bulk
Functional: PBE-GGA
Structure: relaxed

```
6
Lattice="4.1114 0.0000 0.0000 0.0000 5.6174 0.0000 0.0000 -2.8087 7.8752" Properties=species:S:1:pos:R:3 pbc="T T T"
Tl 0.0000 2.8087 2.7444
Tl 0.0000 0.0000 5.1308
Tl 2.0557 2.8087 0.0000
Tl 2.0557 0.0000 2.3226
Tl 2.0557 2.8087 5.5526
Se 0.0000 0.0000 0.0000
```

Summary:
DOS(E_F)   2.0 states/eV per cell
Size of the total moment   0.00 μB per atom
Energy relative to the elements, uncorrected   -0.117 eV/atom



# 3
Compound: TlSe3
Source: Alexandria via LeMat-Bulk
Functional: PBE-GGA
Structure: relaxed

```
24
Lattice="6.8339 0.0000 0.0000 0.0000 8.9635 0.0000 0.0000 0.0000 11.0503" Properties=species:S:1:pos:R:3 pbc="T T T"
Se 0.9381 0.3583 4.8136
Se 0.9381 0.3583 0.7116
Se 2.8779 0.5112 8.2878
Se 3.9560 8.4524 2.7626
Se 5.8958 8.6052 10.3387
Se 5.8958 8.6052 6.2368
Se 0.8053 2.2409 2.7626
Se 1.9999 2.2409 10.0192
Se 1.9999 2.2409 6.5563
Se 0.9381 4.1234 4.8136
Se 0.9381 4.1234 0.7116
Se 2.8779 3.9706 8.2878
Se 3.9560 4.9930 2.7626
Se 5.8958 4.8401 10.3387
Se 5.8958 4.8401 6.2368
Se 6.0286 6.7227 8.2878
Se 4.8340 6.7227 4.4940
Se 4.8340 6.7227 1.0312
Tl 5.7828 2.2409 8.2878
Tl 4.6232 2.2409 4.5430
Tl 4.6232 2.2409 0.9821
Tl 1.0510 6.7227 2.7626
Tl 2.2107 6.7227 10.0682
Tl 2.2107 6.7227 6.5073
```

Summary:
DOS(E_F)   6.4 states/eV per cell
Size of the total moment   0.00 μB per atom
Energy relative to the elements, uncorrected   -0.075 eV/atom



# 4
Compound: Tl5Se
Source: Alexandria via LeMat-Bulk
Functional: PBE-GGA
Structure: relaxed

```
6
Lattice="-4.3077 -4.7140 0.7325 -0.8194 -6.3739 -0.1314 0.4114 -3.0496 7.5205" Properties=species:S:1:pos:R:3 pbc="T T T"
Se -5.0256 -11.0475 0.9331
Tl -1.4681 -4.5447 2.8039
Tl -2.9489 -9.3066 5.9740
Tl -3.0778 -7.4972 1.9768
Tl -4.7034 -12.3997 4.8325
Tl -1.2645 -6.3486 7.0918
```

Summary:
DOS(E_F)   2.5 states/eV per cell
Size of the total moment   0.00 μB per atom
Energy relative to the elements, uncorrected   -0.120 eV/atom



# 5
Compound: Tl4Se3
Source: Alexandria via LeMat-Bulk
Functional: PBE-GGA
Structure: relaxed

```
7
Lattice="4.5104 0.0000 0.0000 0.0000 7.8205 0.1389 -2.2552 -3.4814 6.8320" Properties=species:S:1:pos:R:3 pbc="T T T"
Tl 0.0000 2.2603 1.7701
Tl 2.2552 2.0789 5.2008
Tl 0.0000 5.1884 4.8494
Tl 2.2552 -0.8492 2.1215
Se 0.0000 0.0000 0.0000
Se 0.0000 0.5173 4.3533
Se 2.2552 3.8219 2.6176
```

Summary:
DOS(E_F)   0.5 states/eV per cell
Size of the total moment   0.00 μB per atom
Energy relative to the elements, uncorrected   -0.290 eV/atom



# 6
Compound: TlSe2
Source: Alexandria via LeMat-Bulk
Functional: PBE-GGA
Structure: relaxed

```
12
Lattice="6.3487 0.0000 0.0000 0.0000 5.5219 0.0000 0.0000 0.0000 10.9742" Properties=species:S:1:pos:R:3 pbc="T T T"
Se 1.5872 0.9217 8.0913
Se 4.7615 1.8392 2.6042
Se 1.5872 3.6826 8.3700
Se 4.7615 4.6002 2.8829
Se 1.5872 1.2827 5.7601
Se 4.7615 1.4783 0.2730
Se 1.5872 4.0436 10.7012
Se 4.7615 4.2392 5.2141
Tl 1.5872 4.0730 4.2285
Tl 4.7615 4.2098 9.7156
Tl 1.5872 1.3120 1.2586
Tl 4.7615 1.4489 6.7456
```

Summary:
DOS(E_F)   5.7 states/eV per cell
Size of the total moment   0.00 μB per atom
Energy relative to the elements, uncorrected   -0.143 eV/atom